Record 1
# PrYSi4Os2

A relaxed PrYSi4Os2 crystal (PBE-GGA, OQMD).

abc: 4.467 4.127 8.206
angles: 90.00 101.93 90.00
Fractional coordinates of all 8 atoms:
Y 0.592 0.500 0.705
Si 0.961 0.500 0.410
Si 0.665 0.000 0.992
Si 0.333 0.500 0.003
Si 0.038 0.000 0.592
Pr 0.413 0.000 0.301
Os 0.881 0.500 0.112
Os 0.116 0.000 0.884

Properties
* calculated total energy: -7.656 eV/atom

Record 2
# PrSmOs

A relaxed PrSmOs crystal (PBE-GGA, OQMD).

abc: 4.813 4.813 4.813
angles: 60.00 60.00 60.00
Fractional coordinates of all 3 atoms:
Os 0.250 0.250 0.250
Sm 0.000 0.000 0.000
Pr 0.750 0.750 0.750

Properties
* formation enthalpy at 0 K: 0.736 eV/atom
* calculated total energy: -6.168 eV/atom
* energy above the lowest structure with this stoichiometry: 0.00 eV/f.u.

Record 3
# Pr3Sm3Te2Os

A relaxed Pr3Sm3Te2Os crystal (PBE-GGA, OQMD).

abc: 8.641 8.641 4.039
angles: 90.00 90.00 120.00
Fractional coordinates of all 9 atoms:
Pr 0.000 0.757 0.000
Pr 0.757 0.000 0.000
Pr 0.243 0.243 0.000
Te 0.333 0.667 0.000
Te 0.667 0.333 0.000
Os 0.000 0.000 0.500
Sm 0.000 0.404 0.500
Sm 0.596 0.596 0.500
Sm 0.404 0.000 0.500

Properties
* calculated total energy: -5.769 eV/atom
* energy above the lowest structure with this stoichiometry: 0.55 eV/f.u.

Record 4
# Pr3Sm3Te2Os

A relaxed Pr3Sm3Te2Os crystal (PBE-GGA, OQMD).

abc: 8.624 8.624 4.102
angles: 90.00 90.00 120.00
Fractional coordinates of all 9 atoms:
Sm 0.000 0.763 0.000
Sm 0.763 0.000 0.000
Sm 0.237 0.237 0.000
Te 0.667 0.333 0.000
Te 0.333 0.667 0.000
Os 0.000 0.000 0.500
Pr 0.402 0.000 0.500
Pr 0.000 0.402 0.500
Pr 0.598 0.598 0.500

Properties
* calculated total energy: -5.830 eV/atom
* energy above the lowest structure with this stoichiometry: 0.00 eV/f.u.

Record 5
# Pr2SmTm3Te2Os

A relaxed Pr2SmTm3Te2Os crystal (PBE-GGA, OQMD).

abc: 4.112 8.399 8.399
angles: 120.30 90.00 90.00
Fractional coordinates of all 9 atoms:
Pr 0.000 0.600 0.001
Pr 0.000 0.001 0.600
Tm 0.500 0.231 0.995
Tm 0.500 0.774 0.774
Tm 0.500 0.995 0.231
Te 0.500 0.335 0.662
Te 0.500 0.662 0.335
Sm 0.000 0.388 0.388
Os 0.000 0.014 0.014

Properties
* calculated total energy: -5.789 eV/atom

Record 6
# PrTm3Zr2Te2Os

A relaxed PrTm3Zr2Te2Os crystal (PBE-GGA, OQMD).

abc: 3.869 8.219 8.219
angles: 121.27 90.00 90.00
Fractional coordinates of all 9 atoms:
Zr 0.500 0.603 0.000
Zr 0.500 0.000 0.603
Os 0.500 0.995 0.995
Tm 0.000 0.995 0.238
Tm 0.000 0.756 0.756
Tm 0.000 0.238 0.995
Te 0.000 0.678 0.329
Te 0.000 0.329 0.678
Pr 0.500 0.405 0.405

Properties
* calculated total energy: -6.443 eV/atom

Record 7
# Pr2Tm3ZrTe2Os

A relaxed Pr2Tm3ZrTe2Os crystal (PBE-GGA, OQMD).

abc: 3.980 8.230 8.230
angles: 118.30 90.00 90.00
Fractional coordinates of all 9 atoms:
Te 0.000 0.659 0.351
Te 0.000 0.351 0.659
Tm 0.000 0.233 0.233
Tm 0.000 0.990 0.758
Tm 0.000 0.758 0.990
Pr 0.500 0.002 0.403
Pr 0.500 0.403 0.002
Os 0.500 0.998 0.998
Zr 0.500 0.606 0.606

Properties
* calculated total energy: -6.116 eV/atom

Record 8
# PrTlOs

A relaxed PrTlOs crystal (PBE-GGA, OQMD).

abc: 4.823 4.823 4.823
angles: 60.00 60.00 60.00
Fractional coordinates of all 3 atoms:
Tl 0.000 0.000 0.000
Pr 0.750 0.750 0.750
Os 0.250 0.250 0.250

Properties
* calculated total energy: -5.350 eV/atom